VASP calculation (PBE-GGA) on a relaxed SrLiRhF2 crystal.

Structure (POSCAR):
```
SrLiRhF2
1.0
-3.5437 -2.2479 1.5472
-0.6444 -1.6285 -3.8417
2.6421 -3.4606 1.0238
Sr Li Rh F
1 1 1 2
direct
0.5000 0.5000 0.5000
0.0000 0.5000 0.0000
0.0000 0.0000 0.0000
0.0000 0.0000 0.5000
0.5000 0.0000 0.0000
```

VASP energy, eV/atom: -3.981
Crystal system: tetragonal
Symmetry: P4/mmm (123)

VASP calculation (PBE-GGA) on a relaxed Pm4In5Ge2 crystal.

Structure (POSCAR):
```
Pm4In5Ge2
1.0
4.2347 0.0000 0.0000
0.0000 7.7353 0.0860
0.0000 -0.6451 8.9714
Pm In Ge
4 5 2
direct
0.5000 0.7718 0.5854
0.5000 0.2044 0.8573
0.5000 0.2282 0.4146
0.5000 0.7956 0.1427
0.0000 0.5408 0.3361
0.0000 0.1423 0.1324
0.0000 0.5000 0.0000
0.0000 0.8577 0.8676
0.0000 0.4592 0.6639
0.0000 0.0841 0.6272
0.0000 0.9159 0.3728
```

VASP energy, eV/atom: -4.354
Crystal system: monoclinic
Formation energy, eV/atom: -0.542
Symmetry: P2/m (10)

VASP calculation (PBE-GGA) on a relaxed CuSbMo2 crystal.

Structure (POSCAR):
```
CuSbMo2
1.0
-1.0836 3.2281 -1.7126
-3.6315 -0.7525 0.8794
-1.3133 6.0693 8.0297
Sb Mo Cu
2 4 2
direct
0.0000 0.0000 0.0000
0.7500 0.2500 0.5000
0.5866 0.1250 0.2500
0.1634 0.6250 0.2500
0.3750 0.4134 0.7500
0.8750 0.8366 0.7500
0.5000 0.5000 0.0000
0.2500 0.7500 0.5000
```

VASP energy, eV/atom: -6.949
Crystal system: tetragonal
Symmetry: I-42d (122)

VASP calculation (PBE-GGA) on a relaxed GaRuSe2N crystal.

Structure (POSCAR):
```
GaRuSe2N
1.0
-2.1627 0.7258 4.6279
-4.5029 -1.7273 -1.8334
0.9121 -3.3955 0.9588
Ru Ga Se N
1 1 2 1
direct
0.0000 0.0000 0.0000
0.5000 0.5000 0.5000
0.0000 0.5000 0.0000
0.5000 0.0000 0.0000
0.0000 0.0000 0.5000
```

VASP energy, eV/atom: -5.231
Crystal system: tetragonal
Excess energy over the best structure of this formula in the dataset, meV/atom: 0
Symmetry: P4/mmm (123)

VASP calculation (PBE-GGA) on a relaxed Cs5PtAuO2 crystal.

Structure (POSCAR):
```
Cs5PtAuO2
1.0
6.0109 0.0000 0.0000
0.0000 6.0109 0.0000
0.0000 0.0000 9.7876
Cs Pt Au O
5 1 1 2
direct
0.0000 0.0000 0.5000
0.0000 0.5000 0.7877
0.5000 0.0000 0.2123
0.0000 0.5000 0.2123
0.5000 0.0000 0.7877
0.0000 0.0000 0.0000
0.5000 0.5000 0.5000
0.0000 0.0000 0.2057
0.0000 0.0000 0.7943
```

VASP energy, eV/atom: -3.323
Crystal system: tetragonal
Symmetry: P4/mmm (123)

VASP calculation (PBE-GGA) on a relaxed Er2Tm5Sc4 crystal.

Structure (POSCAR):
```
Er2Tm5Sc4
1.0
3.4703 0.0000 0.0000
0.0000 8.5499 -1.0915
0.0000 0.4450 10.6420
Er Tm Sc
2 5 4
direct
0.0000 0.9247 0.3634
0.0000 0.0753 0.6366
0.0000 0.5000 0.0000
0.0000 0.1470 0.1328
0.0000 0.8530 0.8672
0.0000 0.5474 0.3328
0.0000 0.4526 0.6672
0.5000 0.2015 0.8709
0.5000 0.7985 0.1291
0.5000 0.2475 0.4259
0.5000 0.7525 0.5741
```

VASP energy, eV/atom: -5.057
Crystal system: monoclinic
Excess energy over the best structure of this formula in the dataset, meV/atom: 0
Formation energy, eV/atom: 0.108
Symmetry: P2/m (10)

Look up the VASP energy of the third one.
-6.949 eV/atom

What is the VASP energy in the fourth record?
-5.231 eV/atom